No. 1
Compound: KZnBrCl2
Source: Alexandria
Functional: GGA-PBE
Structure: relaxed

abc: 4.9624 4.9624 5.3066
angles: 90.00 90.00 90.00
With the nearest neighbours (Å) after each atom.
Fractional coordinates of all 5 atoms:
Cl 0.0000 0.5000 0.0000  2 Zn 2.48
Cl 0.5000 0.0000 0.0000  2 Zn 2.48
K 0.5000 0.5000 0.5000  4 Br 3.51, 8 Cl 3.63
Zn 0.0000 0.0000 0.0000  4 Cl 2.48, 2 Br 2.65
Br 0.0000 0.0000 0.5000  2 Zn 2.65

## Properties
Its space-group type is P4/mmm, No. 123. The uncorrected formation energy comes out at -624.7 kJ/mol of formula units.

=====

No. 2
Compound: Ca2GaC
Source: Alexandria
Functional: GGA-PBE
Structure: relaxed

abc: 7.5126 7.5126 6.2822
angles: 53.28 53.28 90.00
With the nearest neighbours (Å) after each atom.
Fractional coordinates of all 8 atoms:
C 0.5000 0.5000 0.0000  4 Ca 2.42
C 0.2500 0.7500 0.5000  4 Ca 2.42
Ca 0.5454 0.1250 0.2500  2 C 2.42
Ca 0.8750 0.7954 0.7500  2 C 2.42
Ca 0.3750 0.4546 0.7500  2 C 2.42
Ca 0.2046 0.6250 0.2500  2 C 2.42
Ga 0.7500 0.2500 0.5000  8 Ca 3.22-3.39, 2 C 3.35
Ga 0.0000 0.0000 0.0000  8 Ca 3.22-3.39, 2 C 3.35

## Properties
The distance to the lowest polymorph of the same formula comes out at 0.00 eV/f.u. The formation energy is 0.502 eV/atom. Its space-group type is I-42d, No. 122.

=====

No. 3
Compound: Er5Cd4Sn
Source: Alexandria
Functional: GGA-PBE
Structure: relaxed

abc: 3.7291 3.7291 18.4511
angles: 90.00 90.00 90.00
With the nearest neighbours (Å) after each atom.
Fractional coordinates of all 10 atoms:
Cd 0.0000 0.0000 0.3995  8 Er 3.21-3.22
Cd 0.0000 0.0000 0.2038  8 Er 3.18-3.25
Cd 0.0000 0.0000 0.7962  8 Er 3.18-3.25
Cd 0.0000 0.0000 0.6005  8 Er 3.21-3.22
Er 0.5000 0.5000 0.6998  8 Cd 3.18-3.21
Er 0.5000 0.5000 0.3002  8 Cd 3.18-3.21
Er 0.5000 0.5000 0.8992  4 Sn 3.23, 4 Cd 3.25
Er 0.5000 0.5000 0.5000  8 Cd 3.22
Er 0.5000 0.5000 0.1008  4 Sn 3.23, 4 Cd 3.25
Sn 0.0000 0.0000 0.0000  8 Er 3.23

## Properties
The formation energy is -0.373 eV/atom. Its space-group type is P4/mmm, No. 123.

=====

No. 4
Compound: Na3Bi4Rh2
Source: Alexandria
Functional: GGA-PBE
Structure: relaxed

abc: 4.6782 6.4142 8.7977
angles: 93.98 90.00 111.39
With the nearest neighbours (Å) after each atom.
Fractional coordinates of all 9 atoms:
Rh 0.7241 0.4481 0.3917  4 Bi 2.69-2.74
Rh 0.2759 0.5519 0.6083  4 Bi 2.69-2.74
Bi 0.3157 0.6314 0.9190  1 Rh 2.74
Bi 0.6843 0.3686 0.0810  1 Rh 2.74
Bi 0.8901 0.7802 0.6154  3 Rh 2.69-2.71
Bi 0.1099 0.2198 0.3846  3 Rh 2.69-2.71
Na 0.3903 0.7807 0.3008  3 Rh 3.12-3.21, 2 Bi 3.41-3.48
Na 0.6097 0.2193 0.6992  3 Rh 3.12-3.21, 2 Bi 3.41-3.48
Na 0.0000 0.0000 0.0000  6 Bi 3.25-3.54

## Properties
The formation energy is -0.212 eV/atom. Its space-group type is C2/m, No. 12.

=====

no.,E (eV per cell)
1,-14.21
2,-28.49
3,-34.21
4,-36.09